No. 1
ZrAl2Cu | PBE | relaxed

a b c (Å): 4.208 5.351 6.040
angles (deg): 90.00 90.00 90.00
Fractional positions:
Cu  0.500  0.750  0.375
Cu  0.500  0.250  0.625
Zr  0.000  0.250  0.326
Zr  0.000  0.750  0.674
Al  0.500  0.500  0.000
Al  0.500  0.000  0.000
Al  0.000  0.750  0.171
Al  0.000  0.250  0.829

Its crystal system is orthorhombic. Its space-group type is Pmma (51). As for the total energy: -5.193 eV/atom.



No. 2
CaNbAu | PBE | relaxed

a b c (Å): 4.644 4.644 4.644
angles (deg): 60.00 60.00 60.00
Fractional positions:
Ca  0.250  0.250  0.250
Au  0.750  0.750  0.750
Nb  0.500  0.500  0.500

Its crystal system is cubic. The excess energy over the best structure of this formula in the dataset comes out at 0.932 eV/atom. Its space-group type is F-43m (216). As for the total energy: -4.422 eV/atom.



Number 1 is which compound? ZrAl2Cu